(1)
Compound: Ac7PrIn4
Source: Alexandria via LeMat-Bulk
Functional: PBE-GGA
Structure: optimized geometry

Cell and atoms, written as POSCAR:
```
Ac7PrIn4
1.0
7.811 -3.134 0.000
7.811 3.134 0.000
-6.263 0.000 9.494
Ac Pr In
7 1 4
direct
0.000 0.000 0.000
0.220 0.220 0.664
0.296 0.296 0.118
0.433 0.433 0.606
0.567 0.567 0.394
0.704 0.704 0.882
0.780 0.780 0.336
0.500 0.500 0.000
0.051 0.051 0.748
0.180 0.180 0.336
0.820 0.820 0.664
0.949 0.949 0.252
```

Values from the calculation:
SG: C2/m (12)
Total magnetization in Bohr magnetons per cell: 0.00
Formation enthalpy at 0 K in eV/atom: -0.094
Fermi-level density of states in states/eV per atom: 1.110

***

(2)
Compound: Ac2PrIn
Source: Alexandria via LeMat-Bulk
Functional: PBE-GGA
Structure: optimized geometry

Cell and atoms, written as POSCAR:
```
Ac2PrIn
1.0
0.000 4.189 4.189
4.189 0.000 4.189
4.189 4.189 0.000
Ac Pr In
2 1 1
direct
0.250 0.250 0.250
0.750 0.750 0.750
0.000 0.000 0.000
0.500 0.500 0.500
```

Values from the calculation:
SG: Fm-3m (225)
Total magnetization in Bohr magnetons per cell: 0.02
Formation enthalpy at 0 K in eV/atom: -0.074
Fermi-level density of states in states/eV per atom: 1.936
Offset from the most stable computed form in eV/atom: 0.124

***

(3)
Compound: AcPr12In6
Source: Alexandria via LeMat-Bulk
Functional: PBE-GGA
Structure: optimized geometry

Cell and atoms, written as POSCAR:
```
AcPr12In6
1.0
5.984 3.455 5.014
-5.984 3.455 5.014
0.000 -6.910 5.014
Ac Pr In
1 12 6
direct
0.000 0.000 0.000
0.081 0.391 0.124
0.124 0.081 0.391
0.192 0.572 0.469
0.391 0.124 0.081
0.428 0.531 0.808
0.469 0.192 0.572
0.531 0.808 0.428
0.572 0.469 0.192
0.609 0.876 0.919
0.808 0.428 0.531
0.876 0.919 0.609
0.919 0.609 0.876
0.123 0.285 0.739
0.261 0.877 0.715
0.285 0.739 0.123
0.715 0.261 0.877
0.739 0.123 0.285
0.877 0.715 0.261
```

Values from the calculation:
SG: R-3 (148)
Total magnetization in Bohr magnetons per cell: 0.00
Formation enthalpy at 0 K in eV/atom: -0.220
Fermi-level density of states in states/eV per atom: 1.043

***

(4)
Compound: Ac2Pr3In
Source: Alexandria via LeMat-Bulk
Functional: PBE-GGA
Structure: optimized geometry

Cell and atoms, written as POSCAR:
```
Ac2Pr3In
1.0
2.597 -8.091 0.000
2.597 8.091 0.000
0.000 0.000 5.124
Ac Pr In
2 3 1
direct
0.163 0.837 0.000
0.837 0.163 0.000
0.000 0.000 0.500
0.344 0.656 0.500
0.656 0.344 0.500
0.500 0.500 0.000
```

Values from the calculation:
SG: Cmmm (65)
Total magnetization in Bohr magnetons per cell: 0.00
Formation enthalpy at 0 K in eV/atom: -0.123
Fermi-level density of states in states/eV per atom: 1.372
Offset from the most stable computed form in eV/atom: 0.000

***

(5)
Compound: AcPr4In2
Source: Alexandria via LeMat-Bulk
Functional: PBE-GGA
Structure: optimized geometry

Cell and atoms, written as POSCAR:
```
AcPr4In2
1.0
-2.216 2.216 12.774
2.216 -2.216 12.774
2.216 2.216 -12.774
Ac Pr In
1 4 2
direct
0.000 0.000 0.000
0.134 0.134 0.000
0.250 0.750 0.500
0.750 0.250 0.500
0.866 0.866 0.000
0.425 0.425 0.000
0.575 0.575 0.000
```

Values from the calculation:
SG: I4/mmm (139)
Total magnetization in Bohr magnetons per cell: 0.29
Formation enthalpy at 0 K in eV/atom: 0.077
Fermi-level density of states in states/eV per atom: 1.236
Offset from the most stable computed form in eV/atom: 0.056

***

(6)
Compound: AcPr7In4
Source: Alexandria via LeMat-Bulk
Functional: PBE-GGA
Structure: optimized geometry

Cell and atoms, written as POSCAR:
```
AcPr7In4
1.0
7.321 -3.028 0.000
7.321 3.028 0.000
-6.138 0.000 9.156
Ac Pr In
1 7 4
direct
0.000 0.000 0.000
0.060 0.060 0.390
0.207 0.207 0.879
0.288 0.288 0.355
0.500 0.500 0.000
0.712 0.712 0.645
0.793 0.793 0.121
0.940 0.940 0.610
0.315 0.315 0.668
0.443 0.443 0.244
0.557 0.557 0.756
0.685 0.685 0.332
```

Values from the calculation:
SG: C2/m (12)
Total magnetization in Bohr magnetons per cell: 0.38
Formation enthalpy at 0 K in eV/atom: -0.128
Fermi-level density of states in states/eV per atom: 1.113

***

(7)
Compound: AcPrIn2
Source: Alexandria via LeMat-Bulk
Functional: PBE-GGA
Structure: optimized geometry

Cell and atoms, written as POSCAR:
```
AcPrIn2
1.0
4.015 0.000 0.000
0.000 4.015 0.000
0.000 0.000 7.968
Ac Pr In
1 1 2
direct
0.000 0.000 0.000
0.000 0.000 0.500
0.500 0.500 0.268
0.500 0.500 0.732
```

Values from the calculation:
SG: P4/mmm (123)
Total magnetization in Bohr magnetons per cell: 0.00
Formation enthalpy at 0 K in eV/atom: -0.455
Fermi-level density of states in states/eV per atom: 0.688

***

(8)
Compound: Ac3PrIn
Source: Alexandria via LeMat-Bulk
Functional: PBE-GGA
Structure: optimized geometry

Cell and atoms, written as POSCAR:
```
Ac3PrIn
1.0
2.629 -13.656 0.000
2.629 13.656 0.000
0.000 0.000 5.259
Ac Pr In
6 2 2
direct
0.055 0.945 0.750
0.250 0.750 0.750
0.442 0.558 0.750
0.558 0.442 0.250
0.750 0.250 0.250
0.945 0.055 0.250
0.347 0.653 0.250
0.653 0.347 0.750
0.154 0.846 0.250
0.846 0.154 0.750
```

Values from the calculation:
SG: Cmcm (63)
Total magnetization in Bohr magnetons per cell: 0.00
Formation enthalpy at 0 K in eV/atom: -0.131
Fermi-level density of states in states/eV per atom: 1.277
Offset from the most stable computed form in eV/atom: 0.000

***

(9)
Compound: Ac4PrIn4
Source: Alexandria via LeMat-Bulk
Functional: PBE-GGA
Structure: optimized geometry

Cell and atoms, written as POSCAR:
```
Ac4PrIn4
1.0
9.810 0.000 0.000
0.000 9.810 0.000
0.000 0.000 6.512
Ac Pr In
8 2 8
direct
0.075 0.825 0.127
0.175 0.575 0.627
0.325 0.925 0.627
0.425 0.675 0.127
0.575 0.325 0.873
0.675 0.075 0.373
0.825 0.425 0.373
0.925 0.175 0.873
0.250 0.250 0.750
0.750 0.750 0.250
0.058 0.156 0.363
0.156 0.442 0.137
0.344 0.058 0.137
0.442 0.344 0.363
0.558 0.656 0.637
0.656 0.942 0.863
0.844 0.558 0.863
0.942 0.844 0.637
```

Values from the calculation:
SG: P4_2/n (86)
Total magnetization in Bohr magnetons per cell: 0.00
Formation enthalpy at 0 K in eV/atom: -0.248
Fermi-level density of states in states/eV per atom: 0.934

***

(10)
Compound: Ac4PrIn
Source: Alexandria via LeMat-Bulk
Functional: PBE-GGA
Structure: optimized geometry

Cell and atoms, written as POSCAR:
```
Ac4PrIn
1.0
-6.078 6.078 3.867
6.078 -6.078 3.867
6.078 6.078 -3.867
Ac Pr In
8 2 2
direct
0.221 0.000 0.221
0.245 0.506 0.261
0.245 0.984 0.739
0.256 0.495 0.761
0.734 0.495 0.239
0.750 0.029 0.279
0.750 0.471 0.721
0.779 0.000 0.779
0.506 0.006 0.500
0.756 0.756 0.000
0.042 0.542 0.500
0.292 0.292 0.000
```

Values from the calculation:
SG: I4_1md (109)
Total magnetization in Bohr magnetons per cell: 0.00
Formation enthalpy at 0 K in eV/atom: 0.324
Fermi-level density of states in states/eV per atom: 1.722
Offset from the most stable computed form in eV/atom: 0.441

***

(11)
Compound: Ac3Pr12In
Source: Alexandria via LeMat-Bulk
Functional: PBE-GGA
Structure: optimized geometry

Cell and atoms, written as POSCAR:
```
Ac3Pr12In
1.0
5.244 0.000 0.000
0.000 5.244 0.000
0.000 0.000 21.216
Ac Pr In
3 12 1
direct
0.000 0.000 0.000
0.000 0.000 0.255
0.000 0.000 0.745
0.000 0.500 0.128
0.000 0.500 0.384
0.000 0.500 0.616
0.000 0.500 0.872
0.500 0.000 0.128
0.500 0.000 0.384
0.500 0.000 0.616
0.500 0.000 0.872
0.500 0.500 0.000
0.500 0.500 0.259
0.500 0.500 0.500
0.500 0.500 0.741
0.000 0.000 0.500
```

Values from the calculation:
SG: P4/mmm (123)
Total magnetization in Bohr magnetons per cell: 0.00
Formation enthalpy at 0 K in eV/atom: -0.039
Fermi-level density of states in states/eV per atom: 1.459

***

(12)
Compound: Ac4PrIn3
Source: Alexandria via LeMat-Bulk
Functional: PBE-GGA
Structure: optimized geometry

Cell and atoms, written as POSCAR:
```
Ac4PrIn3
1.0
11.577 0.000 0.000
0.000 8.529 0.000
0.000 0.000 5.789
Ac Pr In
8 2 6
direct
0.000 0.238 0.000
0.000 0.762 0.000
0.250 0.238 0.498
0.250 0.762 0.498
0.500 0.238 0.000
0.500 0.762 0.000
0.750 0.238 0.502
0.750 0.762 0.502
0.000 0.500 0.500
0.500 0.500 0.500
0.000 0.000 0.500
0.250 0.000 0.998
0.250 0.500 0.998
0.500 0.000 0.500
0.750 0.000 0.002
0.750 0.500 0.002
```

Values from the calculation:
SG: Pmma (51)
Total magnetization in Bohr magnetons per cell: 0.00
Formation enthalpy at 0 K in eV/atom: -0.262
Fermi-level density of states in states/eV per atom: 1.291